Record 1
The following is a meta-GGA SCAN calculation of Y2RuF2 at its PBEsol-relaxed geometry, from Alexandria.

Cell lengths 3.493, 3.493, 6.938 Å; angles 104.58, 104.58, 90.00 degrees
Element x y z (fractional)
Y1 0.373 0.373 0.746
Y2 0.627 0.627 0.254
Ru1 0.000 0.000 0.000
F1 0.250 0.750 0.500
F2 0.750 0.250 0.500

Computed properties:
The volume comes out at 79 Å³ per cell. The formation energy from raw total energies is -2506 meV per atom. The total energy is -22.025 eV per atom.

Record 2
The following is a meta-GGA SCAN calculation of CsTlTc2 at its PBEsol-relaxed geometry, from Alexandria.

Cell lengths 4.776, 4.776, 4.776 Å; angles 60.00, 60.00, 60.00 degrees
Element x y z (fractional)
Cs1 0.000 0.000 0.000
Tl1 0.500 0.500 0.500
Tc1 0.250 0.250 0.250
Tc2 0.750 0.750 0.750

Computed properties:
The energy of formation is 1.99 eV per atom. The volume comes out at 77 Å³ per cell. The total energy is -43.080 eV per atom.

Record 3
The following is a meta-GGA SCAN calculation of ZrCoSb2 at its PBEsol-relaxed geometry, from Alexandria.

Cell lengths 4.826, 4.826, 4.826 Å; angles 60.00, 60.00, 60.00 degrees
Element x y z (fractional)
Co1 0.500 0.500 0.500
Sb1 0.000 0.000 0.000
Sb2 0.750 0.750 0.750
Zr1 0.250 0.250 0.250

Computed properties:
The volume comes out at 79 Å³ per cell. The formation energy from raw total energies is 265 meV per atom. The total energy is -30.366 eV per atom.

Record 4
The following is a meta-GGA SCAN calculation of InPt2Au at its PBEsol-relaxed geometry, from Alexandria.

Cell lengths 4.047, 4.047, 4.942 Å; angles 114.17, 114.17, 90.00 degrees
Element x y z (fractional)
Au1 0.500 0.500 0.000
In1 0.750 0.250 0.500
Pt1 0.000 0.000 0.000
Pt2 0.250 0.750 0.500

Computed properties:
The energy of formation is -0.22 eV per atom. The volume comes out at 66 Å³ per cell. The total energy is -60.956 eV per atom.

Copy entry 1 word for word.
The following is a meta-GGA SCAN calculation of Y2RuF2 at its PBEsol-relaxed geometry, from Alexandria.

Cell lengths 3.493, 3.493, 6.938 Å; angles 104.58, 104.58, 90.00 degrees
Element x y z (fractional)
Y1 0.373 0.373 0.746
Y2 0.627 0.627 0.254
Ru1 0.000 0.000 0.000
F1 0.250 0.750 0.500
F2 0.750 0.250 0.500

Computed properties:
The volume comes out at 79 Å³ per cell. The formation energy from raw total energies is -2506 meV per atom. The total energy is -22.025 eV per atom.

Question: Which value of volume does entry 3 give?
Answer: 79 Å³ per cell